1.
Below is a relaxed NaCaScNb2 crystal, with properties calculated at the PBE-GGA level.

Values from the calculation:
- SG = P4/mmm, No. 123
- calculated formation energy (eV per atom) = 1.566
- V (Å³ per cell) = 126.7
- mass density (g/cm3) = 3.85

a b c (Å): 4.982 5.106 4.982
angles (deg): 90.00 90.00 90.00
Fractional positions:
1 Sc 0.000 0.500 0.000
2 Na 0.000 0.000 0.000
3 Nb 0.000 0.000 0.500
4 Nb 0.500 0.000 0.000
5 Ca 0.500 0.500 0.500


2.
Below is a relaxed NaCaNbTe2 crystal, with properties calculated at the PBE-GGA level.

Values from the calculation:
- SG = P4/mmm, No. 123
- V (Å³ per cell) = 157.1
- raw formation energy (eV/atom) = 0.517
- mass density (g/cm3) = 4.34

a b c (Å): 5.622 4.972 5.622
angles (deg): 90.00 90.00 90.00
Fractional positions:
1 Na 0.000 0.000 0.000
2 Nb 0.000 0.500 0.000
3 Te 0.000 0.000 0.500
4 Te 0.500 0.000 0.000
5 Ca 0.500 0.500 0.500


3.
Below is a relaxed NaCa2NbW crystal, with properties calculated at the PBE-GGA level.

Values from the calculation:
- SG = P4/mmm, No. 123
- calculated formation energy (eV per atom) = 2.349
- V (Å³ per cell) = 142.3
- mass density (g/cm3) = 4.43

a b c (Å): 5.247 5.170 5.247
angles (deg): 90.00 90.00 90.00
Fractional positions:
1 Na 0.000 0.500 0.000
2 Nb 0.000 0.000 0.000
3 Ca 0.000 0.000 0.500
4 Ca 0.500 0.000 0.000
5 W 0.500 0.500 0.500


4.
Below is a relaxed Na4CaNd crystal, with properties calculated at the PBE-GGA level.

Values from the calculation:
- SG = F-43m, No. 216
- calculated formation energy (eV per atom) = 0.185
- V (Å³ per cell) = 213.5
- mass density (g/cm3) = 2.15

a b c (Å): 6.709 6.709 6.709
angles (deg): 60.00 60.00 60.00
Fractional positions:
1 Na 0.625 0.625 0.124
2 Na 0.625 0.124 0.625
3 Na 0.625 0.625 0.625
4 Na 0.124 0.625 0.625
5 Ca 0.250 0.250 0.250
6 Nd 0.000 0.000 0.000


5.
Below is a relaxed Na2CaNd crystal, with properties calculated at the PBE-GGA level.

Values from the calculation:
- SG = R-3m, No. 166
- calculated formation energy (eV per atom) = 0.236
- V (Å³ per cell) = 152.6
- mass density (g/cm3) = 2.51

a b c (Å): 3.606 3.606 13.710
angles (deg): 82.44 82.44 60.00
Fractional positions:
1 Na 0.086 0.086 0.742
2 Na 0.914 0.914 0.258
3 Ca 0.500 0.500 0.500
4 Nd 0.000 0.000 0.000


6.
Below is a relaxed NaCaNdPb crystal, with properties calculated at the PBE-GGA level.

Values from the calculation:
- SG = F-43m, No. 216
- calculated formation energy (eV per atom) = -0.255
- V (Å³ per cell) = 122.5
- mass density (g/cm3) = 5.62

a b c (Å): 5.575 5.575 5.575
angles (deg): 60.00 60.00 60.00
Fractional positions:
1 Pb 0.500 0.500 0.500
2 Na 0.000 0.000 0.000
3 Ca 0.250 0.250 0.250
4 Nd 0.750 0.750 0.750


7.
Below is a relaxed NaCa3Nd2S6 crystal, with properties calculated at the PBE-GGA level.

Values from the calculation:
- SG = C2/m, No. 12
- V (Å³ per cell) = 284.2
- raw formation energy (eV/atom) = -1.987
- mass density (g/cm3) = 3.65

a b c (Å): 4.052 8.155 9.070
angles (deg): 103.07 102.91 90.00
Fractional positions:
1 Na 0.500 0.000 0.000
2 Ca 0.500 0.500 0.000
3 Ca 0.837 0.164 0.674
4 Ca 0.163 0.836 0.326
5 Nd 0.837 0.672 0.674
6 Nd 0.163 0.328 0.326
7 S 0.329 0.915 0.659
8 S 0.668 0.585 0.335
9 S 0.671 0.085 0.341
10 S 0.001 0.258 0.002
11 S 0.999 0.742 0.998
12 S 0.332 0.415 0.665


8.
Below is a relaxed NaCa2NdSe4 crystal, with properties calculated at the PBE-GGA level.

Values from the calculation:
- SG = P2/m, No. 10
- V (Å³ per cell) = 215.1
- raw formation energy (eV/atom) = -1.830
- mass density (g/cm3) = 4.35

a b c (Å): 4.257 7.304 7.305
angles (deg): 108.71 90.00 90.00
Fractional positions:
1 Na 0.500 0.500 0.000
2 Ca 0.500 0.000 0.500
3 Ca 0.000 0.500 0.500
4 Nd 0.000 0.000 0.000
5 Se 0.500 0.247 0.249
6 Se 0.500 0.753 0.751
7 Se 0.000 0.241 0.744
8 Se 0.000 0.759 0.256


9.
Below is a relaxed NaCa4Nd3Se8 crystal, with properties calculated at the PBE-GGA level.

Values from the calculation:
- SG = R-3m, No. 166
- V (Å³ per cell) = 425.5
- raw formation energy (eV/atom) = -1.880
- mass density (g/cm3) = 4.87

a b c (Å): 8.428 8.457 8.428
angles (deg): 119.89 120.00 90.00
Fractional positions:
1 Na 0.000 0.500 0.000
2 Ca 0.500 0.000 0.000
3 Ca 0.500 0.000 0.500
4 Ca 0.000 0.000 0.000
5 Ca 0.000 0.000 0.500
6 Nd 0.500 0.500 0.000
7 Nd 0.500 0.500 0.500
8 Nd 0.000 0.500 0.500
9 Se 0.252 0.753 0.001
10 Se 0.252 0.753 0.504
11 Se 0.248 0.245 0.497
12 Se 0.750 0.753 0.001
13 Se 0.250 0.247 0.999
14 Se 0.752 0.755 0.503
15 Se 0.748 0.247 0.496
16 Se 0.748 0.247 0.999


10.
Below is a relaxed NaCa3Nd2Se6 crystal, with properties calculated at the PBE-GGA level.

Values from the calculation:
- SG = C2/m, No. 12
- V (Å³ per cell) = 320.6
- raw formation energy (eV/atom) = -1.865
- mass density (g/cm3) = 4.69

a b c (Å): 7.320 7.320 7.324
angles (deg): 99.61 99.61 119.95
Fractional positions:
1 Na 0.000 0.000 0.000
2 Ca 0.165 0.835 0.500
3 Ca 0.835 0.165 0.500
4 Ca 0.500 0.500 0.500
5 Nd 0.333 0.667 0.000
6 Nd 0.667 0.333 0.000
7 Se 0.915 0.578 0.747
8 Se 0.747 0.747 0.253
9 Se 0.085 0.422 0.253
10 Se 0.578 0.915 0.747
11 Se 0.253 0.253 0.747
12 Se 0.422 0.085 0.253


11.
Below is a relaxed NaCa3Nd4Se8 crystal, with properties calculated at the PBE-GGA level.

Values from the calculation:
- SG = R-3m, No. 166
- V (Å³ per cell) = 426.1
- raw formation energy (eV/atom) = -1.857
- mass density (g/cm3) = 5.27

a b c (Å): 8.398 8.496 8.398
angles (deg): 119.62 120.00 90.00
Fractional positions:
1 Na 0.000 0.500 0.000
2 Ca 0.500 0.500 0.000
3 Ca 0.500 0.500 0.500
4 Ca 0.000 0.500 0.500
5 Nd 0.500 0.000 0.000
6 Nd 0.500 0.000 0.500
7 Nd 0.000 0.000 0.000
8 Nd 0.000 0.000 0.500
9 Se 0.250 0.747 0.997
10 Se 0.250 0.747 0.500
11 Se 0.252 0.256 0.504
12 Se 0.748 0.747 0.997
13 Se 0.252 0.253 0.003
14 Se 0.748 0.744 0.496
15 Se 0.750 0.253 0.500
16 Se 0.750 0.253 0.003


12.
Below is a relaxed NaCaNd2Te4 crystal, with properties calculated at the PBE-GGA level.

Values from the calculation:
- SG = P2/m, No. 10
- V (Å³ per cell) = 261.5
- raw formation energy (eV/atom) = -1.430
- mass density (g/cm3) = 5.47

a b c (Å): 4.490 7.920 7.778
angles (deg): 71.03 90.00 90.00
Fractional positions:
1 Na 0.000 0.500 0.500
2 Ca 0.500 0.500 0.000
3 Nd 0.000 0.000 0.000
4 Nd 0.500 0.000 0.500
5 Te 0.000 0.748 0.751
6 Te 0.000 0.252 0.249
7 Te 0.500 0.751 0.248
8 Te 0.500 0.249 0.752